# 1
Compound: LiSmGa3
Source: Alexandria via LeMat-Bulk
Functional: PBE
Structure: optimized geometry

Calculated values
The calculation puts the density of states at the Fermi level at 5.355 states/eV/cell. The space-group type is Cmcm, No. 63. The value obtained for the energy of formation is -0.44 eV/atom.

CIF file:
```
data_LiSmGa3
_space_group_name_H-M_alt 'P 1'
_space_group_IT_number 1
_cell_length_a 13.146
_cell_length_b 13.146
_cell_length_c 4.393
_cell_angle_alpha 90.00
_cell_angle_beta 90.00
_cell_angle_gamma 164.31
loop_
_space_group_symop_operation_xyz
'x,y,z'
loop_
_atom_site_label
_atom_site_fract_x
_atom_site_fract_y
_atom_site_fract_z
Li1 0.213 0.787 0.750
Li2 0.787 0.213 0.250
Sm1 0.076 0.924 0.250
Sm2 0.924 0.076 0.750
Ga1 0.317 0.683 0.750
Ga2 0.372 0.628 0.250
Ga3 0.474 0.526 0.250
Ga4 0.526 0.474 0.750
Ga5 0.628 0.372 0.750
Ga6 0.683 0.317 0.250
```



# 2
Compound: YAgBiPt
Source: Alexandria via LeMat-Bulk
Functional: PBE
Structure: optimized geometry

Calculated values
The calculation puts the density of states at the Fermi level at 2.625 states/eV/cell. The space-group type is F-43m, No. 216. The value obtained for the energy of formation is -0.53 eV/atom.

CIF file:
```
data_YAgBiPt
_space_group_name_H-M_alt 'P 1'
_space_group_IT_number 1
_cell_length_a 5.006
_cell_length_b 5.006
_cell_length_c 5.006
_cell_angle_alpha 60.00
_cell_angle_beta 60.00
_cell_angle_gamma 60.00
loop_
_space_group_symop_operation_xyz
'x,y,z'
loop_
_atom_site_label
_atom_site_fract_x
_atom_site_fract_y
_atom_site_fract_z
Y1 0.000 0.000 0.000
Ag1 0.250 0.250 0.250
Bi1 0.500 0.500 0.500
Pt1 0.750 0.750 0.750
```



# 3
Compound: Ac3ZnNi
Source: Alexandria via LeMat-Bulk
Functional: PBE
Structure: optimized geometry

Calculated values
The energy above the lowest structure with this stoichiometry is 0.230 eV per atom. The calculation puts the density of states at the Fermi level at 7.381 states/eV/cell. The space-group type is Pm-3m, No. 221. The value obtained for the energy of formation is 0.03 eV/atom.

CIF file:
```
data_Ac3ZnNi
_space_group_name_H-M_alt 'P 1'
_space_group_IT_number 1
_cell_length_a 5.645
_cell_length_b 5.645
_cell_length_c 5.645
_cell_angle_alpha 90.00
_cell_angle_beta 90.00
_cell_angle_gamma 90.00
loop_
_space_group_symop_operation_xyz
'x,y,z'
loop_
_atom_site_label
_atom_site_fract_x
_atom_site_fract_y
_atom_site_fract_z
Ac1 0.000 0.000 0.500
Ac2 0.000 0.500 0.000
Ac3 0.500 0.000 0.000
Zn1 0.500 0.500 0.500
Ni1 0.000 0.000 0.000
```



# 4
Compound: TbCeHgPt
Source: Alexandria via LeMat-Bulk
Functional: PBE
Structure: optimized geometry

Calculated values
The calculation puts the density of states at the Fermi level at 8.258 states/eV/cell. The space-group type is F-43m, No. 216. The value obtained for the energy of formation is -0.68 eV/atom.

CIF file:
```
data_TbCeHgPt
_space_group_name_H-M_alt 'P 1'
_space_group_IT_number 1
_cell_length_a 5.171
_cell_length_b 5.171
_cell_length_c 5.171
_cell_angle_alpha 60.00
_cell_angle_beta 60.00
_cell_angle_gamma 60.00
loop_
_space_group_symop_operation_xyz
'x,y,z'
loop_
_atom_site_label
_atom_site_fract_x
_atom_site_fract_y
_atom_site_fract_z
Tb1 0.000 0.000 0.000
Ce1 0.500 0.500 0.500
Hg1 0.250 0.250 0.250
Pt1 0.750 0.750 0.750
```



# 5
Compound: RuSe
Source: Alexandria via LeMat-Bulk
Functional: PBE
Structure: optimized geometry

Calculated values
The calculation puts the formation energy (no corrections) at 0.7599 eV/atom. The calculation puts the density of states at the Fermi level at 4.836 states/eV/cell. The space-group type is Fd-3m, No. 227.

CIF file:
```
data_RuSe
_space_group_name_H-M_alt 'P 1'
_space_group_IT_number 1
_cell_length_a 4.503
_cell_length_b 4.503
_cell_length_c 4.503
_cell_angle_alpha 60.00
_cell_angle_beta 60.00
_cell_angle_gamma 60.00
loop_
_space_group_symop_operation_xyz
'x,y,z'
loop_
_atom_site_label
_atom_site_fract_x
_atom_site_fract_y
_atom_site_fract_z
Ru1 0.125 0.125 0.125
Ru2 0.875 0.875 0.875
Se1 0.375 0.375 0.375
Se2 0.625 0.625 0.625
```



# 6
Compound: NdHoLuPu
Source: Alexandria via LeMat-Bulk
Functional: PBE
Structure: optimized geometry

Calculated values
The calculation puts the density of states at the Fermi level at 11.196 states/eV/cell. The space-group type is F-43m, No. 216. The value obtained for the energy of formation is 0.20 eV/atom.

CIF file:
```
data_NdHoLuPu
_space_group_name_H-M_alt 'P 1'
_space_group_IT_number 1
_cell_length_a 5.599
_cell_length_b 5.599
_cell_length_c 5.599
_cell_angle_alpha 60.00
_cell_angle_beta 60.00
_cell_angle_gamma 60.00
loop_
_space_group_symop_operation_xyz
'x,y,z'
loop_
_atom_site_label
_atom_site_fract_x
_atom_site_fract_y
_atom_site_fract_z
Nd1 0.000 0.000 0.000
Ho1 0.750 0.750 0.750
Lu1 0.250 0.250 0.250
Pu1 0.500 0.500 0.500
```



# 7
Compound: Sr8As5Cl
Source: Alexandria via LeMat-Bulk
Functional: PBE
Structure: optimized geometry

Calculated values
The calculation puts the formation energy (no corrections) at -1.2983 eV/atom. The space-group type is I-4, No. 82.

CIF file:
```
data_Sr8As5Cl
_space_group_name_H-M_alt 'P 1'
_space_group_IT_number 1
_cell_length_a 8.255
_cell_length_b 8.255
_cell_length_c 8.255
_cell_angle_alpha 109.56
_cell_angle_beta 109.56
_cell_angle_gamma 109.30
loop_
_space_group_symop_operation_xyz
'x,y,z'
loop_
_atom_site_label
_atom_site_fract_x
_atom_site_fract_y
_atom_site_fract_z
Sr1 0.003 0.381 0.239
Sr2 0.131 0.239 0.755
Sr3 0.142 0.763 0.761
Sr4 0.237 0.997 0.378
Sr5 0.484 0.376 0.245
Sr6 0.619 0.858 0.622
Sr7 0.624 0.869 0.108
Sr8 0.761 0.516 0.892
As1 0.000 0.000 0.000
As2 0.249 0.630 0.116
As3 0.370 0.486 0.619
As4 0.514 0.133 0.884
As5 0.867 0.751 0.381
Cl1 0.750 0.250 0.500
```



# 8
Compound: Er3TmSc3Se8
Source: Alexandria via LeMat-Bulk
Functional: PBE
Structure: optimized geometry

Calculated values
The calculation puts the formation energy (no corrections) at -1.7394 eV/atom. The calculation puts the density of states at the Fermi level at 6.864 states/eV/cell. The space-group type is R-3m, No. 166.

CIF file:
```
data_Er3TmSc3Se8
_space_group_name_H-M_alt 'P 1'
_space_group_IT_number 1
_cell_length_a 7.917
_cell_length_b 7.917
_cell_length_c 7.917
_cell_angle_alpha 59.68
_cell_angle_beta 59.68
_cell_angle_gamma 59.68
loop_
_space_group_symop_operation_xyz
'x,y,z'
loop_
_atom_site_label
_atom_site_fract_x
_atom_site_fract_y
_atom_site_fract_z
Er1 0.000 0.500 0.500
Er2 0.500 0.000 0.500
Er3 0.500 0.500 0.000
Tm1 0.500 0.500 0.500
Sc1 0.000 0.000 0.500
Sc2 0.000 0.500 0.000
Sc3 0.500 0.000 0.000
Se1 0.237 0.755 0.755
Se2 0.245 0.245 0.763
Se3 0.245 0.763 0.245
Se4 0.246 0.246 0.246
Se5 0.754 0.754 0.754
Se6 0.755 0.237 0.755
Se7 0.755 0.755 0.237
Se8 0.763 0.245 0.245
```



# 9
Compound: RbTlCd2Ru
Source: Alexandria via LeMat-Bulk
Functional: PBE
Structure: optimized geometry

Calculated values
The calculation puts the density of states at the Fermi level at 1.735 states/eV/cell. The space-group type is P4/mmm, No. 123. The value obtained for the energy of formation is 0.12 eV/atom.

CIF file:
```
data_RbTlCd2Ru
_space_group_name_H-M_alt 'P 1'
_space_group_IT_number 1
_cell_length_a 5.359
_cell_length_b 5.359
_cell_length_c 5.302
_cell_angle_alpha 90.00
_cell_angle_beta 90.00
_cell_angle_gamma 90.00
loop_
_space_group_symop_operation_xyz
'x,y,z'
loop_
_atom_site_label
_atom_site_fract_x
_atom_site_fract_y
_atom_site_fract_z
Rb1 0.000 0.000 0.000
Tl1 0.500 0.500 0.000
Cd1 0.000 0.500 0.500
Cd2 0.500 0.000 0.500
Ru1 0.500 0.500 0.500
```



# 10
Compound: Pm2Er3Cd3
Source: Alexandria via LeMat-Bulk
Functional: PBE
Structure: optimized geometry

Calculated values
The energy above the lowest structure with this stoichiometry is 0.000 eV per atom. The calculation puts the density of states at the Fermi level at 7.554 states/eV/cell. The space-group type is Immm, No. 71. The value obtained for the energy of formation is -0.22 eV/atom.

CIF file:
```
data_Pm2Er3Cd3
_space_group_name_H-M_alt 'P 1'
_space_group_IT_number 1
_cell_length_a 11.643
_cell_length_b 11.643
_cell_length_c 11.643
_cell_angle_alpha 161.42
_cell_angle_beta 153.66
_cell_angle_gamma 32.42
loop_
_space_group_symop_operation_xyz
'x,y,z'
loop_
_atom_site_label
_atom_site_fract_x
_atom_site_fract_y
_atom_site_fract_z
Pm1 0.232 0.232 0.000
Pm2 0.768 0.768 0.000
Er1 0.000 0.000 0.000
Er2 0.380 0.880 0.500
Er3 0.620 0.120 0.500
Cd1 0.113 0.613 0.500
Cd2 0.500 0.500 0.000
Cd3 0.887 0.387 0.500
```



For each record above, in turn, the calculated energy values are -3.59; -5.33; -3.84; -4.91; -5.62; -6.85; -4.05; -6.07; -2.77; -3.47 eV per atom.